1.
Below is a relaxed CoReAg2 crystal, with properties calculated at the PBE level.

```
CoReAg2
1.0
-1.8804 1.8804 4.3255
1.8804 -1.8804 4.3255
1.8804 1.8804 -4.3255
Co Re Ag
1 1 2
direct
0.0000 0.0000 0.0000
0.5000 0.5000 0.0000
0.2500 0.7500 0.5000
0.7500 0.2500 0.5000
```

Total DFT energy (no corrections) (eV/atom): -5.4844
Total magnetization (μB/atom): 0.672

---

2.
Below is a relaxed CoRe2Ag crystal, with properties calculated at the PBE level.

```
CoRe2Ag
1.0
2.7112 0.0000 0.0000
0.0000 2.7112 0.0000
0.0000 0.0000 7.8963
Co Re Ag
1 2 1
direct
0.0000 0.0000 0.0000
0.0000 0.0000 0.4641
0.5000 0.5000 0.2041
0.5000 0.5000 0.7442
```

Total DFT energy (no corrections) (eV/atom): -8.3584
Total magnetization (μB/atom): 0.000

---

3.
Below is a relaxed Co2Re2Ag crystal, with properties calculated at the PBE level.

```
Co2Re2Ag
1.0
7.3888 0.0000 0.0000
0.0000 7.3888 0.0000
0.0000 0.0000 2.6091
Co Re Ag
4 4 2
direct
0.1666 0.3334 0.0000
0.3334 0.8334 0.0000
0.6666 0.1666 0.0000
0.8334 0.6666 0.0000
0.1231 0.6231 0.5000
0.3769 0.1231 0.5000
0.6231 0.8769 0.5000
0.8769 0.3769 0.5000
0.0000 0.0000 0.5000
0.5000 0.5000 0.5000
```

Total DFT energy (no corrections) (eV/atom): -8.0512
Total magnetization (μB/atom): 0.000